1.
A relaxed RbCdIn3 crystal, computed with GGA-PBE.

Computed properties:
As for the raw total energy: -10.59 eV per formula unit. The calculation puts the energy of formation at -0.10 eV per atom. The value obtained for the volume is 31.79 Å³ per atom. The calculation puts the excess energy over the best structure of this formula in the dataset at 0 meV/atom.

```
data_RbCdIn3
_cell_length_a 4.969
_cell_length_b 4.970
_cell_length_c 7.334
_cell_angle_alpha 70.23
_cell_angle_beta 70.21
_cell_angle_gamma 90.18
_space_group_name_H-M_alt 'P 1'
_space_group_IT_number 1
loop_
_space_group_symop_operation_xyz
'x,y,z'
loop_
_atom_site_label
_atom_site_type_symbol
_atom_site_fract_x
_atom_site_fract_y
_atom_site_fract_z
In1 In 0.650 0.953 0.405
In2 In 0.789 0.592 0.128
In3 In 0.150 0.454 0.405
Cd1 Cd 0.015 0.819 0.674
Rb1 Rb 0.404 0.207 0.898
```

---

2.
A relaxed Ba2Sr7Cd2 crystal, computed with GGA-PBE.

Computed properties:
As for the raw total energy: -18.23 eV per formula unit. The calculation puts the energy of formation at -0.07 eV per atom. The value obtained for the volume is 49.72 Å³ per atom.

```
data_Ba2Sr7Cd2
_cell_length_a 7.050
_cell_length_b 7.050
_cell_length_c 12.724
_cell_angle_alpha 83.07
_cell_angle_beta 83.07
_cell_angle_gamma 117.25
_space_group_name_H-M_alt 'P 1'
_space_group_IT_number 1
loop_
_space_group_symop_operation_xyz
'x,y,z'
loop_
_atom_site_label
_atom_site_type_symbol
_atom_site_fract_x
_atom_site_fract_y
_atom_site_fract_z
Sr1 Sr 0.227 0.564 0.170
Sr2 Sr 0.827 0.827 0.319
Sr3 Sr 0.773 0.436 0.830
Sr4 Sr 0.564 0.227 0.170
Sr5 Sr 0.000 0.000 0.000
Sr6 Sr 0.173 0.173 0.681
Sr7 Sr 0.436 0.773 0.830
Ba1 Ba 0.750 0.250 0.500
Ba2 Ba 0.250 0.750 0.500
Cd1 Cd 0.286 0.286 0.400
Cd2 Cd 0.714 0.714 0.600
```

---

3.
A relaxed Ca3Pu3NbN8 crystal, computed with GGA-PBE.

Computed properties:
As for the raw total energy: -142.23 eV per formula unit. The value obtained for the volume is 15.05 Å³ per atom. As for the raw formation energy: -1598 kJ/mol of formula units.

```
data_Ca3Pu3NbN8
_cell_length_a 6.794
_cell_length_b 6.795
_cell_length_c 6.876
_cell_angle_alpha 119.60
_cell_angle_beta 90.00
_cell_angle_gamma 120.00
_space_group_name_H-M_alt 'P 1'
_space_group_IT_number 1
loop_
_space_group_symop_operation_xyz
'x,y,z'
loop_
_atom_site_label
_atom_site_type_symbol
_atom_site_fract_x
_atom_site_fract_y
_atom_site_fract_z
N1 N 0.248 0.026 0.303
N2 N 0.777 0.026 0.303
N3 N 0.777 0.555 0.303
N4 N 0.223 0.445 0.697
N5 N 0.740 0.480 0.720
N6 N 0.223 0.974 0.697
N7 N 0.752 0.974 0.697
N8 N 0.260 0.520 0.280
Ca1 Ca 0.000 0.500 0.000
Ca2 Ca 0.000 0.000 0.000
Ca3 Ca 0.500 0.500 0.000
Pu1 Pu 0.500 0.500 0.500
Pu2 Pu 0.500 0.000 0.500
Pu3 Pu 0.000 0.500 0.500
Nb1 Nb 0.000 0.000 0.500
```